Record 1
LaTb3Sb3 | PBE-GGA | optimized geometry

a = 9.2317 Å, b = 9.2317 Å, c = 18.4982 Å
α = 90.00°, β = 90.00°, γ = 120.00°
Space group R-3 (No. 148, hexagonal axes)
Inequivalent atoms, fractional coordinates:
La 0.0000 0.0000 0.1657
Tb 0.0029 0.7331 0.5859
Sb 0.0041 0.6268 0.4183

---

Record 2
La5TbSb4 | PBE-GGA | optimized geometry

a = 19.513 Å, b = 4.458 Å, c = 8.901 Å
α = 90.00°, β = 104.33°, γ = 90.00°
Space group C2/m (No. 12)
Inequivalent atoms, fractional coordinates:
La 0.000 0.000 0.000
La 0.166 0.500 0.329
La 0.170 0.500 0.842
Tb 0.000 0.000 0.500
Sb 0.004 0.500 0.746
Sb 0.166 0.000 0.585

---

Record 3
La4TbSb5 | PBE-GGA | optimized geometry

a = 10.245 Å, b = 10.245 Å, c = 6.489 Å
α = 90.00°, β = 90.00°, γ = 90.00°
Space group I4/m (No. 87)
Inequivalent atoms, fractional coordinates:
La 0.098 0.300 0.000
Tb 0.000 0.000 0.500
Sb 0.000 0.000 0.000
Sb 0.098 0.294 0.500

---

Record 4
LaTb3Sb3 | PBE-GGA | optimized geometry

a = 9.360 Å, b = 9.360 Å, c = 9.360 Å
α = 90.00°, β = 90.00°, γ = 90.00°
Space group P2_13 (No. 198)
Inequivalent atoms, fractional coordinates:
La 0.069 0.431 0.569
Tb 0.077 0.577 0.923
Tb 0.180 0.820 0.320
Tb 0.181 0.181 0.181
Sb 0.001 0.258 0.881

---

Record 5
LaTbTh2Sb4 | PBE-GGA | optimized geometry

a = 7.805 Å, b = 4.514 Å, c = 7.811 Å
α = 90.00°, β = 109.57°, γ = 90.00°
Space group P2/m (No. 10)
Inequivalent atoms, fractional coordinates:
La 0.000 0.000 0.000
Tb 0.000 0.500 0.500
Th 0.500 0.000 0.500
Th 0.500 0.500 0.000
Sb 0.247 0.000 0.744
Sb 0.251 0.500 0.256

---

Record 6
LaTbTh2Sb5 | PBE-GGA | optimized geometry

a = 5.284 Å, b = 5.284 Å, c = 11.720 Å
α = 90.00°, β = 90.00°, γ = 90.00°
Space group P4/mmm (No. 123)
Inequivalent atoms, fractional coordinates:
La 0.000 0.000 0.000
Tb 0.000 0.000 0.500
Th 0.500 0.500 0.306
Sb 0.000 0.000 0.253
Sb 0.000 0.500 0.500
Sb 0.500 0.500 0.000

---

Number 1: uncorrected formation energy -0.9203 eV per atom. Number 2: uncorrected formation energy -0.8581 eV per atom. Number 3: uncorrected formation energy -1.2432 eV per atom. Number 4: uncorrected formation energy -1.0302 eV per atom. Number 5: uncorrected formation energy -1.0630 eV per atom. Number 6: uncorrected formation energy -0.2301 eV per atom.